Sr5Pa3Sb8 | GGA-PBE | relaxed

Energy relative to the elements, uncorrected, meV per atom: -816.8
VASP energy, eV for the cell shown: -82.9
Space-group type: R-3m (166)
Calculated density, g/cm³: 6.3

Unit cell a=9.2483 b=9.2483 c=9.2483 alpha=59.60 beta=59.60 gamma=59.60
With the nearest neighbours (Å) after each atom.
Atoms (fractional coordinates):
Sr: 0.0000 0.0000 0.0000  6 Sb 3.27
Sr: 0.0000 0.5000 0.5000  6 Sb 3.40-3.44
Sr: 0.5000 0.0000 0.5000  6 Sb 3.40-3.44
Sr: 0.5000 0.5000 0.0000  6 Sb 3.40-3.44
Sr: 0.5000 0.5000 0.5000  6 Sb 3.27
Pa: 0.0000 0.0000 0.5000  6 Sb 3.09-3.13
Pa: 0.0000 0.5000 0.0000  6 Sb 3.09-3.13
Pa: 0.5000 0.0000 0.0000  6 Sb 3.09-3.13
Sb: 0.2233 0.7502 0.7502  2 Pa 3.09, 4 Sr 3.27-3.44
Sb: 0.2401 0.2401 0.2401  3 Pa 3.13, 3 Sr 3.40
Sb: 0.2498 0.2498 0.7767  2 Pa 3.09, 4 Sr 3.27-3.44
Sb: 0.2498 0.7767 0.2498  2 Pa 3.09, 4 Sr 3.27-3.44
Sb: 0.7502 0.2233 0.7502  2 Pa 3.09, 4 Sr 3.27-3.44
Sb: 0.7502 0.7502 0.2233  2 Pa 3.09, 4 Sr 3.27-3.44
Sb: 0.7599 0.7599 0.7599  3 Pa 3.13, 3 Sr 3.40
Sb: 0.7767 0.2498 0.2498  2 Pa 3.09, 4 Sr 3.27-3.44

SrPaSb2 | GGA-PBE | relaxed

Energy relative to the elements, uncorrected, meV per atom: -741.5
VASP energy, eV for the cell shown: -67.2
Space-group type: R-3m (166)
Calculated density, g/cm³: 6.9

Unit cell a=4.5138 b=4.5138 c=22.8571 alpha=90.00 beta=90.00 gamma=120.00
With the nearest neighbours (Å) after each atom.
Atoms (fractional coordinates):
Sr: 0.0000 0.0000 0.0000  6 Sb 3.35
Sr: 0.3333 0.6667 0.6667  6 Sb 3.35
Sr: 0.6667 0.3333 0.3333  6 Sb 3.35
Pa: 0.0000 0.0000 0.5000  6 Sb 3.11
Pa: 0.3333 0.6667 0.1667  6 Sb 3.11
Pa: 0.6667 0.3333 0.8333  6 Sb 3.11
Sb: 0.0000 0.0000 0.2412  3 Pa 3.11, 3 Sr 3.35
Sb: 0.0000 0.0000 0.7588  3 Pa 3.11, 3 Sr 3.35
Sb: 0.3333 0.6667 0.4254  3 Pa 3.11, 3 Sr 3.35
Sb: 0.3333 0.6667 0.9079  3 Pa 3.11, 3 Sr 3.35
Sb: 0.6667 0.3333 0.0921  3 Pa 3.11, 3 Sr 3.35
Sb: 0.6667 0.3333 0.5746  3 Pa 3.11, 3 Sr 3.35

SrPaSb2 | GGA-PBE | relaxed

Energy relative to the elements, uncorrected, meV per atom: -675.7
VASP energy, eV for the cell shown: -66.4
Space-group type: R3m (160)
Calculated density, g/cm³: 6.8

Unit cell a=4.4849 b=4.4849 c=23.5620 alpha=90.00 beta=90.00 gamma=120.00
With the nearest neighbours (Å) after each atom.
Atoms (fractional coordinates):
Sr: 0.0000 0.0000 0.0000  6 Sb 3.34-3.44
Sr: 0.3333 0.6667 0.6667  6 Sb 3.34-3.44
Sr: 0.6667 0.3333 0.3333  6 Sb 3.34-3.44
Pa: 0.0000 0.0000 0.1715  6 Sb 3.10-3.14
Pa: 0.3333 0.6667 0.8382  6 Sb 3.10-3.14
Pa: 0.6667 0.3333 0.5048  6 Sb 3.10-3.14
Sb: 0.0000 0.0000 0.5774  3 Pa 3.10, 3 Sr 3.34
Sb: 0.0000 0.0000 0.7628  3 Pa 3.14, 3 Sr 3.44
Sb: 0.3333 0.6667 0.2441  3 Pa 3.10, 3 Sr 3.34
Sb: 0.3333 0.6667 0.4294  3 Pa 3.14, 3 Sr 3.44
Sb: 0.6667 0.3333 0.0961  3 Pa 3.14, 3 Sr 3.44
Sb: 0.6667 0.3333 0.9108  3 Pa 3.10, 3 Sr 3.34

Sr3Tb2PaSb6 | GGA-PBE | relaxed

Energy relative to the elements, uncorrected, meV per atom: -943.6
VASP energy, eV for the cell shown: -59.9
Space-group type: C2/m (12)
Calculated density, g/cm³: 6.3

Unit cell a=7.8532 b=7.8532 c=8.0472 alpha=99.35 beta=99.35 gamma=120.04
With the nearest neighbours (Å) after each atom.
Atoms (fractional coordinates):
Sr: 0.0000 0.0000 0.0000  6 Sb 3.34-3.40
Sr: 0.3309 0.6691 0.0000  6 Sb 3.34-3.38
Sr: 0.6691 0.3309 0.0000  6 Sb 3.34-3.38
Tb: 0.1663 0.8337 0.5000  6 Sb 3.14
Tb: 0.8337 0.1663 0.5000  6 Sb 3.14
Pa: 0.5000 0.5000 0.5000  6 Sb 3.08
Sb: 0.0988 0.4260 0.2773  1 Pa 3.08, 2 Tb 3.14, 3 Sr 3.34-3.38
Sb: 0.2479 0.2479 0.7236  1 Pa 3.08, 2 Tb 3.14, 3 Sr 3.36-3.40
Sb: 0.4260 0.0988 0.2773  1 Pa 3.08, 2 Tb 3.14, 3 Sr 3.34-3.38
Sb: 0.5740 0.9012 0.7227  1 Pa 3.08, 2 Tb 3.14, 3 Sr 3.34-3.38
Sb: 0.7521 0.7521 0.2764  1 Pa 3.08, 2 Tb 3.14, 3 Sr 3.36-3.40
Sb: 0.9012 0.5740 0.7227  1 Pa 3.08, 2 Tb 3.14, 3 Sr 3.34-3.38

Sr4Th3PaSb8 | GGA-PBE | relaxed

Energy relative to the elements, uncorrected, meV per atom: -950.4
VASP energy, eV for the cell shown: -86.7
Space-group type: R-3m (166)
Calculated density, g/cm³: 6.7

Unit cell a=9.2979 b=9.2979 c=9.2979 alpha=59.25 beta=59.25 gamma=59.25
With the nearest neighbours (Å) after each atom.
Atoms (fractional coordinates):
Sr: 0.0000 0.0000 0.0000  6 Sb 3.42
Sr: 0.0000 0.5000 0.5000  6 Sb 3.35
Sr: 0.5000 0.0000 0.5000  6 Sb 3.35
Sr: 0.5000 0.5000 0.0000  6 Sb 3.35
Th: 0.0000 0.0000 0.5000  6 Sb 3.19
Th: 0.0000 0.5000 0.0000  6 Sb 3.19
Th: 0.5000 0.0000 0.0000  6 Sb 3.19
Pa: 0.5000 0.5000 0.5000  6 Sb 3.12
Sb: 0.2438 0.2438 0.2438  3 Th 3.19, 3 Sr 3.35
Sb: 0.2494 0.7388 0.7388  1 Pa 3.12, 2 Th 3.19, 3 Sr 3.35-3.42
Sb: 0.2612 0.2612 0.7506  1 Pa 3.12, 2 Th 3.19, 3 Sr 3.35-3.42
Sb: 0.2612 0.7506 0.2612  1 Pa 3.12, 2 Th 3.19, 3 Sr 3.35-3.42
Sb: 0.7388 0.2494 0.7388  1 Pa 3.12, 2 Th 3.19, 3 Sr 3.35-3.42
Sb: 0.7388 0.7388 0.2494  1 Pa 3.12, 2 Th 3.19, 3 Sr 3.35-3.42
Sb: 0.7506 0.2612 0.2612  1 Pa 3.12, 2 Th 3.19, 3 Sr 3.35-3.42
Sb: 0.7562 0.7562 0.7562  3 Th 3.19, 3 Sr 3.35

Sr3Th2PaSb6 | GGA-PBE | relaxed

Energy relative to the elements, uncorrected, meV per atom: -929.4
VASP energy, eV for the cell shown: -65.3
Space-group type: C2/m (12)
Calculated density, g/cm³: 6.7

Unit cell a=7.9365 b=7.9365 c=8.0766 alpha=99.43 beta=99.43 gamma=120.00
With the nearest neighbours (Å) after each atom.
Atoms (fractional coordinates):
Sr: 0.0000 0.0000 0.0000  6 Sb 3.34-3.41
Sr: 0.3309 0.6691 0.0000  6 Sb 3.34-3.39
Sr: 0.6691 0.3309 0.0000  6 Sb 3.34-3.39
Th: 0.1660 0.8340 0.5000  6 Sb 3.19-3.20
Th: 0.8340 0.1660 0.5000  6 Sb 3.19-3.20
Pa: 0.5000 0.5000 0.5000  6 Sb 3.11
Sb: 0.0989 0.4245 0.2725  1 Pa 3.11, 2 Th 3.19-3.20, 3 Sr 3.34-3.39
Sb: 0.2514 0.2514 0.7286  1 Pa 3.11, 2 Th 3.19, 3 Sr 3.36-3.41
Sb: 0.4245 0.0989 0.2725  1 Pa 3.11, 2 Th 3.19-3.20, 3 Sr 3.34-3.39
Sb: 0.5755 0.9011 0.7275  1 Pa 3.11, 2 Th 3.19-3.20, 3 Sr 3.34-3.39
Sb: 0.7486 0.7486 0.2714  1 Pa 3.11, 2 Th 3.19, 3 Sr 3.36-3.41
Sb: 0.9011 0.5755 0.7275  1 Pa 3.11, 2 Th 3.19-3.20, 3 Sr 3.34-3.39

Sr3Tm2PaSb6 | GGA-PBE | relaxed

Energy relative to the elements, uncorrected, meV per atom: -918.0
VASP energy, eV for the cell shown: -59.2
Space-group type: C2/m (12)
Calculated density, g/cm³: 6.5

Unit cell a=7.7902 b=7.7902 c=8.0432 alpha=99.29 beta=99.29 gamma=120.01
With the nearest neighbours (Å) after each atom.
Atoms (fractional coordinates):
Sr: 0.0000 0.0000 0.0000  6 Sb 3.35-3.37
Sr: 0.3323 0.6677 0.0000  6 Sb 3.35-3.36
Sr: 0.6677 0.3323 0.0000  6 Sb 3.35-3.36
Tm: 0.1665 0.8335 0.5000  6 Sb 3.10
Tm: 0.8335 0.1665 0.5000  6 Sb 3.10
Pa: 0.5000 0.5000 0.5000  6 Sb 3.07
Sb: 0.0960 0.4266 0.2791  1 Pa 3.07, 2 Tm 3.10, 3 Sr 3.35-3.36
Sb: 0.2433 0.2433 0.7207  1 Pa 3.07, 2 Tm 3.10, 3 Sr 3.36-3.37
Sb: 0.4266 0.0960 0.2791  1 Pa 3.07, 2 Tm 3.10, 3 Sr 3.35-3.36
Sb: 0.5734 0.9040 0.7209  1 Pa 3.07, 2 Tm 3.10, 3 Sr 3.35-3.36
Sb: 0.7567 0.7567 0.2793  1 Pa 3.07, 2 Tm 3.10, 3 Sr 3.36-3.37
Sb: 0.9040 0.5734 0.7209  1 Pa 3.07, 2 Tm 3.10, 3 Sr 3.35-3.36

Sr3Y2PaSb6 | GGA-PBE | relaxed

Energy relative to the elements, uncorrected, meV per atom: -951.1
VASP energy, eV for the cell shown: -63.6
Space-group type: C2/m (12)
Calculated density, g/cm³: 5.7

Unit cell a=7.8364 b=7.8364 c=8.0537 alpha=99.33 beta=99.33 gamma=120.02
With the nearest neighbours (Å) after each atom.
Atoms (fractional coordinates):
Sr: 0.0000 0.0000 0.0000  6 Sb 3.34-3.39
Sr: 0.3311 0.6689 0.0000  6 Sb 3.34-3.38
Sr: 0.6689 0.3311 0.0000  6 Sb 3.34-3.38
Y: 0.1663 0.8337 0.5000  6 Sb 3.13-3.14
Y: 0.8337 0.1663 0.5000  6 Sb 3.13-3.14
Pa: 0.5000 0.5000 0.5000  6 Sb 3.08
Sb: 0.0984 0.4260 0.2773  1 Pa 3.08, 2 Y 3.13-3.14, 3 Sr 3.34-3.38
Sb: 0.2474 0.2474 0.7233  1 Pa 3.08, 2 Y 3.13, 3 Sr 3.36-3.39
Sb: 0.4260 0.0984 0.2773  1 Pa 3.08, 2 Y 3.13-3.14, 3 Sr 3.34-3.38
Sb: 0.5740 0.9016 0.7227  1 Pa 3.08, 2 Y 3.13-3.14, 3 Sr 3.34-3.38
Sb: 0.7526 0.7526 0.2767  1 Pa 3.08, 2 Y 3.13, 3 Sr 3.36-3.39
Sb: 0.9016 0.5740 0.7227  1 Pa 3.08, 2 Y 3.13-3.14, 3 Sr 3.34-3.38

The highest energy relative to the elements, uncorrected belongs to which entry?
number 3

Which of these has the lowest calculated density?
Sr3Y2PaSb6

What is the formula in the seventh record?
Sr3Tm2PaSb6